Compound: GdTcBi
Source: OQMD
Functional: PBE-GGA
Structure: relaxed

The structure belongs to space group F-43m (No. 216); the cell edges are 6.847, 6.847 and 6.847 Å and the angles 90.00°, 90.00° and 90.00°. Symmetry generates all atoms from Gd at (0.000, 0.000, 0.000), Tc at (0.000, 0.000, 0.500) and Bi at (0.250, 0.250, 0.250).

The value obtained for the relative energy among the computed polymorphs is 0.0 meV per atom.

=====

Compound: GdTcBi
Source: OQMD
Functional: PBE-GGA
Structure: relaxed

The structure belongs to space group F-43m (No. 216); the cell edges are 6.945, 6.945 and 6.945 Å and the angles 90.00°, 90.00° and 90.00°. Symmetry generates all atoms from Gd at (0.000, 0.000, 0.000), Tc at (0.250, 0.250, 0.250) and Bi at (0.250, 0.250, 0.750).

The value obtained for the relative energy among the computed polymorphs is 452.1 meV per atom.

=====

Compound: GdTlBiTe3
Source: OQMD
Functional: PBE-GGA
Structure: relaxed

The structure belongs to space group Cmcm (No. 63); the cell edges are 4.290, 15.608 and 12.524 Å and the angles 90.00°, 90.00° and 90.00°. Symmetry generates all atoms from Gd at (0.000, 0.000, 0.000), Tl at (0.000, 0.293, 0.250), Bi at (0.000, 0.386, 0.750), Te at (0.000, 0.040, 0.750) and Te at (0.000, 0.358, 0.507).

Its raw total energy is -96.4 eV per cell.

=====

Compound: GdThBi
Source: OQMD
Functional: PBE-GGA
Structure: relaxed

The structure belongs to space group F-43m (No. 216); the cell edges are 7.467, 7.467 and 7.467 Å and the angles 90.00°, 90.00° and 90.00°. Symmetry generates all atoms from Gd at (0.000, 0.000, 0.000), Th at (0.000, 0.000, 0.500) and Bi at (0.250, 0.250, 0.250).

Its raw total energy is -65.6 eV per cell.

=====

Compound: GdTlBi
Source: OQMD
Functional: PBE-GGA
Structure: relaxed

The structure belongs to space group F-43m (No. 216); the cell edges are 7.399, 7.399 and 7.399 Å and the angles 90.00°, 90.00° and 90.00°. Symmetry generates all atoms from Gd at (0.000, 0.000, 0.000), Tl at (0.250, 0.250, 0.750) and Bi at (0.000, 0.000, 0.500).

The value obtained for the relative energy among the computed polymorphs is 122.3 meV per atom.

=====

Compound: GdTlBi
Source: OQMD
Functional: PBE-GGA
Structure: relaxed

The structure belongs to space group F-43m (No. 216); the cell edges are 7.416, 7.416 and 7.416 Å and the angles 90.00°, 90.00° and 90.00°. Symmetry generates all atoms from Gd at (0.000, 0.000, 0.000), Tl at (0.250, 0.250, 0.250) and Bi at (0.250, 0.250, 0.750).

The value obtained for the relative energy among the computed polymorphs is 0.0 meV per atom.

=====

The total magnetization results, record by record, are as follows: 6.88 2.36 0.02 0.07 0.02 0.03 Bohr magnetons per cell.
The V results, record by record, are as follows: 26.8 27.9 34.9 34.7 33.8 34.0 Å³/atom.